! BeVGa2 | Alexandria | PBE-GGA | relaxed; values from VASP
! * formation energy from the elements: 0.16 eV/atom
! * density of states at the Fermi level: 6.18 states/eV/cell
! * electronic total energy: -4.56 eV per atom
&SYSTEM
  ibrav = 0, nat = 12, ntyp = 3
/
ATOMIC_SPECIES
Be 9.01 Be.upf
V 50.94 V.upf
Ga 69.72 Ga.upf
ATOMIC_POSITIONS crystal
Be 0.0000 0.0000 0.0000
Be 0.3333 0.6667 0.6667
Be 0.6667 0.3333 0.3333
V 0.0000 0.0000 0.5000
V 0.3333 0.6667 0.1667
V 0.6667 0.3333 0.8333
Ga 0.0000 0.0000 0.2714
Ga 0.0000 0.0000 0.7286
Ga 0.3333 0.6667 0.3953
Ga 0.3333 0.6667 0.9381
Ga 0.6667 0.3333 0.0619
Ga 0.6667 0.3333 0.6047
CELL_PARAMETERS angstrom
3.8631 0.0000 0.0000
-1.9316 3.3456 0.0000
0.0000 0.0000 12.7573